Entry 1:
DFT (GGA-PBE) results for Ti2Co2I after structural relaxation.

Cell lengths 4.077, 4.077, 5.895 Å; angles 69.77, 69.77, 90.00 degrees
Atoms (fractional coordinates):
I (0.000, 0.000, 0.000)
Ti (0.750, 0.250, 0.500)
Ti (0.250, 0.750, 0.500)
Co (0.379, 0.379, 0.241)
Co (0.621, 0.621, 0.759)

- Total magnetization: 0.00 μB/f.u.
- Symmetry: No. 139
- Total DFT energy (no corrections): -6.1841 eV per atom
- Raw formation energy: 0.126 eV/atom

Entry 2:
DFT (GGA-PBE) results for Na3Sb4Rh4 after structural relaxation.

Cell lengths 6.930, 6.930, 6.930 Å; angles 109.47, 109.47, 109.47 degrees
Atoms (fractional coordinates):
Rh (0.738, 0.738, 0.738)
Rh (0.000, 0.000, 0.262)
Rh (0.000, 0.262, 0.000)
Rh (0.262, 0.000, 0.000)
Sb (0.625, 0.000, 0.000)
Sb (0.375, 0.375, 0.375)
Sb (0.000, 0.000, 0.625)
Sb (0.000, 0.625, 0.000)
Na (0.000, 0.500, 0.500)
Na (0.500, 0.500, 0.000)
Na (0.500, 0.000, 0.500)

- Total magnetization: 0.00 μB/f.u.
- Symmetry: No. 217
- Total DFT energy (no corrections): -4.9828 eV per atom
- Raw formation energy: -0.451 eV/atom